# 1
Density functional theory data (PBE) for a geometry-optimized Ca2Sn4Pb structure.

The formation energy comes out at -0.302 eV per atom.

It has space group C2/m (No. 12), with a = 8.788 Å, b = 5.806 Å, c = 9.154 Å, α = 90.00°, β = 117.16° and γ = 90.00°. The distinct sites, in fractional coordinates, are Ca at (0.094, 0.000, 0.228), Sn at (0.164, 0.500, 0.988), Sn at (0.195, 0.000, 0.630) and Pb at (0.000, 0.500, 0.500).

# 2
Density functional theory data (PBE) for a geometry-optimized Ca6Sn2Pb structure.

The formation energy comes out at -0.589 eV per atom.

It has space group P-62m (No. 189), with a = 8.3601 Å, b = 8.3601 Å, c = 4.8855 Å, α = 90.00°, β = 90.00° and γ = 120.00°. The distinct sites, in fractional coordinates, are Ca at (0.0000, 0.4197, 0.0000), Ca at (0.0000, 0.7442, 0.5000), Sn at (0.3333, 0.6667, 0.5000) and Pb at (0.0000, 0.0000, 0.0000).

# 3
Density functional theory data (PBE) for a geometry-optimized Ca3SnPb structure.

The energy above the most stable polymorph in this dataset is 0.356 eV per atom. The formation energy comes out at -0.076 eV per atom.

It has space group Pm-3m (No. 221), with a = 5.904 Å, b = 5.904 Å, c = 5.904 Å, α = 90.00°, β = 90.00° and γ = 90.00°. The distinct sites, in fractional coordinates, are Ca at (0.000, 0.000, 0.500), Sn at (0.500, 0.500, 0.500) and Pb at (0.000, 0.000, 0.000).

Number 1: mass density 6.1 Mg/m³. Number 2: mass density 3.8 Mg/m³. Number 3: mass density 3.6 Mg/m³.